Computed, not measured: a relaxed structure of BiHRh2 at the PBE-GGA level of DFT.

Cell lengths 4.053, 5.737, 5.737 Å; angles 66.73, 90.28, 89.73 degrees
Fractional positions:
Bi 0.558 0.793 0.448
Bi 0.058 0.456 0.110
H 0.157 0.343 0.677
H 0.657 0.226 0.561
Rh 0.050 0.090 0.600
Rh 0.055 0.986 0.112
Rh 0.551 0.304 0.814
Rh 0.555 0.791 0.918

polymorph energy (0 for the lowest one) = 0.000 eV/atom
energy = -5.526 eV/atom
space group = No. 9

Computed, not measured: a relaxed structure of BiHRh3 at the PBE-GGA level of DFT.

Cell lengths 4.319, 5.626, 6.686 Å; angles 90.00, 106.61, 90.00 degrees
Fractional positions:
H 0.965 0.250 0.301
H 0.035 0.750 0.699
Rh 0.807 0.997 0.127
Rh 0.193 0.003 0.873
Rh 0.807 0.503 0.127
Rh 0.193 0.497 0.873
Rh 0.365 0.250 0.242
Rh 0.635 0.750 0.758
Bi 0.606 0.250 0.674
Bi 0.394 0.750 0.326

polymorph energy (0 for the lowest one) = 0.164 eV/atom
energy = -5.796 eV/atom
space group = No. 11

Computed, not measured: a relaxed structure of Bi3HRh at the PBE-GGA level of DFT.

Cell lengths 4.759, 4.759, 4.759 Å; angles 90.00, 90.00, 90.00 degrees
Fractional positions:
H 0.000 0.000 0.000
Rh 0.500 0.500 0.500
Bi 0.000 0.500 0.000
Bi 0.000 0.000 0.500
Bi 0.500 0.000 0.000

energy = -3.999 eV/atom
space group = No. 221

Computed, not measured: a relaxed structure of BiHRh3 at the PBE-GGA level of DFT.

Cell lengths 5.320, 5.320, 6.457 Å; angles 65.67, 65.67, 90.00 degrees
Fractional positions:
H 0.000 0.000 0.000
H 0.250 0.750 0.500
Rh 0.111 0.864 0.272
Rh 0.136 0.889 0.728
Rh 0.136 0.383 0.728
Rh 0.617 0.864 0.272
Rh 0.368 0.368 0.264
Rh 0.632 0.632 0.736
Bi 0.591 0.091 0.817
Bi 0.909 0.409 0.183

polymorph energy (0 for the lowest one) = 0.310 eV/atom
energy = -5.649 eV/atom
space group = No. 119

Computed, not measured: a relaxed structure of BiHRh3 at the PBE-GGA level of DFT.

Cell lengths 5.651, 5.652, 5.770 Å; angles 102.59, 106.80, 118.85 degrees
Fractional positions:
H 0.225 0.442 0.880
H 0.964 0.390 0.566
Rh 0.070 0.637 0.402
Rh 0.553 0.120 0.402
Rh 0.058 0.648 0.919
Rh 0.119 0.196 0.044
Rh 0.636 0.713 0.044
Rh 0.131 0.185 0.527
Bi 0.634 0.680 0.527
Bi 0.555 0.152 0.919

polymorph energy (0 for the lowest one) = 0.097 eV/atom
energy = -5.862 eV/atom
space group = No. 12

Computed, not measured: a relaxed structure of BiHRh3 at the PBE-GGA level of DFT.

Cell lengths 17.147, 7.684, 7.684 Å; angles 150.92, 157.14, 22.86 degrees
Fractional positions:
H 0.736 0.791 0.209
H 0.264 0.209 0.791
Rh 0.261 0.713 0.287
Rh 0.739 0.287 0.713
Rh 0.005 0.400 0.600
Rh 0.995 0.600 0.400
Rh 0.713 0.501 0.499
Rh 0.287 0.499 0.501
Bi 0.727 0.113 0.887
Bi 0.273 0.887 0.113

polymorph energy (0 for the lowest one) = 0.205 eV/atom
energy = -5.755 eV/atom
space group = No. 12

Computed, not measured: a relaxed structure of BiH3Rh2 at the PBE-GGA level of DFT.

Cell lengths 5.798, 7.495, 5.236 Å; angles 132.96, 119.89, 64.46 degrees
Fractional positions:
Bi 0.790 0.785 0.834
Bi 0.210 0.215 0.166
H 0.421 0.701 0.062
H 0.947 0.775 0.442
H 0.722 0.249 0.604
H 0.278 0.751 0.396
H 0.053 0.225 0.558
H 0.579 0.299 0.938
Rh 0.275 0.709 0.669
Rh 0.725 0.291 0.331
Rh 0.758 0.529 0.073
Rh 0.242 0.471 0.927

energy = -4.817 eV/atom
space group = No. 2

Computed, not measured: a relaxed structure of BiHRh2 at the PBE-GGA level of DFT.

Cell lengths 5.329, 5.329, 5.678 Å; angles 62.02, 62.02, 90.00 degrees
Fractional positions:
H 0.500 0.500 0.000
H 0.250 0.750 0.500
Rh 0.465 0.125 0.250
Rh 0.285 0.625 0.250
Rh 0.375 0.535 0.750
Rh 0.875 0.715 0.750
Bi 0.000 0.000 0.000
Bi 0.750 0.250 0.500

polymorph energy (0 for the lowest one) = 0.044 eV/atom
energy = -5.481 eV/atom
space group = No. 122

no.,calculated volume (Å³/cell)
1,122.5
2,155.7
3,107.8
4,148.5
5,139.8
6,150.7
7,142.9
8,120.6